# 1
HgPPb GGA-PBE optimized geometry; energy above the most stable polymorph in this dataset = 0.0271 eV per atom; M_tot = 0.000 μB per atom; ΔE_f = 0.182 eV per atom; space group = P6_3mc
1.0
-3.1549 0.4799 2.6152
3.0060 -2.6903 0.8655
5.4023 7.6796 5.1080
P Pb Hg
2 2 2
direct
0.6667 0.3333 0.0081
0.3333 0.6667 0.5081
0.0000 0.0000 0.8650
0.0000 0.0000 0.3650
0.3333 0.6667 0.1468
0.6667 0.3333 0.6468

# 2
Hg2PPb GGA-PBE optimized geometry; energy above the most stable polymorph in this dataset = 0.2302 eV per atom; M_tot = 0.000 μB per atom; ΔE_f = 0.305 eV per atom; space group = I-42d
1.0
-6.3603 -1.4741 2.6719
2.8779 -4.9513 4.1192
-1.0461 0.0787 6.8662
Hg Pb P
4 2 2
direct
0.3750 0.4336 0.7500
0.5664 0.1250 0.2500
0.1836 0.6250 0.2500
0.8750 0.8164 0.7500
0.0000 0.0000 0.0000
0.7500 0.2500 0.5000
0.2500 0.7500 0.5000
0.5000 0.5000 0.0000

# 3
Hg2PPb GGA-PBE optimized geometry; energy above the most stable polymorph in this dataset = 0.1675 eV per atom; M_tot = 0.000 μB per atom; ΔE_f = 0.242 eV per atom; space group = Pmm2
1.0
3.3500 0.0000 0.0000
0.0000 3.7670 0.0000
0.0000 0.0000 8.1812
Pb P Hg
1 1 2
direct
0.5000 0.5000 0.6957
0.0000 0.0000 0.5096
0.5000 0.5000 0.2751
0.0000 0.0000 0.0196

# 4
HgPPb GGA-PBE optimized geometry; energy above the most stable polymorph in this dataset = 0.1704 eV per atom; M_tot = 0.000 μB per atom; ΔE_f = 0.325 eV per atom; space group = I4mm
1.0
6.2403 -0.0607 0.0663
5.2259 3.4116 0.0627
1.0145 0.3009 3.4593
Hg Pb P
1 1 1
direct
0.9809 0.9809 0.0191
0.6933 0.6933 0.3067
0.3258 0.3258 0.6742